Density functional theory data (PBE) for PrMg9Cd2 after structural relaxation.

N(E_F) = 4.20 states/eV/cell
Energy above the lowest structure with this stoichiometry = 20 kJ/mol of formula units

Unit cell a=10.0056 b=10.0056 c=3.3032 alpha=90.00 beta=90.00 gamma=120.00
Space group P6/mmm (No. 191)
One atom of each set of equivalent atoms:
Pr 0.0000 0.0000 0.0000 (multiplicity 1)
Mg 0.0000 0.5000 0.0000 (multiplicity 3)
Mg 0.1812 0.3624 0.5000 (multiplicity 6)
Cd 0.3333 0.6667 0.0000 (multiplicity 2)